Density functional theory data (SCAN) for NiBi at its PBEsol-relaxed geometry.

Structure (CIF):
```
data_NiBi
_symmetry_space_group_name_H-M 'P 1'
_symmetry_Int_Tables_number 1
_cell_length_a 8.128
_cell_length_b 8.128
_cell_length_c 12.713
_cell_angle_alpha 118.58
_cell_angle_beta 118.58
_cell_angle_gamma 60.01
loop_
_symmetry_equiv_pos_as_xyz
'x,y,z'
loop_
_atom_site_label
_atom_site_type_symbol
_atom_site_fract_x
_atom_site_fract_y
_atom_site_fract_z
Ni1 Ni 0.000 0.000 0.000
Ni2 Ni 0.129 0.129 0.245
Ni3 Ni 0.130 0.621 0.242
Ni4 Ni 0.145 0.145 0.616
Ni5 Ni 0.251 0.251 0.492
Ni6 Ni 0.252 0.750 0.494
Ni7 Ni 0.356 0.356 0.371
Ni8 Ni 0.368 0.368 0.737
Ni9 Ni 0.369 0.885 0.742
Ni10 Ni 0.495 0.495 0.976
Ni11 Ni 0.514 0.991 0.995
Ni12 Ni 0.621 0.130 0.242
Ni13 Ni 0.750 0.252 0.494
Ni14 Ni 0.885 0.369 0.742
Ni15 Ni 0.897 0.897 0.117
Ni16 Ni 0.991 0.514 0.995
Bi1 Bi 0.021 0.021 0.369
Bi2 Bi 0.229 0.229 0.115
Bi3 Bi 0.262 0.779 0.867
Bi4 Bi 0.264 0.719 0.124
Bi5 Bi 0.272 0.272 0.873
Bi6 Bi 0.483 0.483 0.624
Bi7 Bi 0.513 0.966 0.619
Bi8 Bi 0.539 0.539 0.371
Bi9 Bi 0.539 0.992 0.371
Bi10 Bi 0.717 0.717 0.120
Bi11 Bi 0.719 0.264 0.124
Bi12 Bi 0.773 0.773 0.864
Bi13 Bi 0.779 0.262 0.867
Bi14 Bi 0.964 0.964 0.620
Bi15 Bi 0.966 0.513 0.619
Bi16 Bi 0.992 0.539 0.371
```

Values from the calculation:
- energy of formation from the pure elements (meV per atom) = 50
- total DFT energy (no corrections) (eV/atom) = -47.327
- symmetry = No. 8
- spin magnetization (Bohr magnetons per cell) = 0.00